A plane-wave DFT calculation with PBE-GGA was carried out for an optimized crystal structure of LiY2GaCo.

a = 5.150 Å, b = 5.150 Å, c = 4.607 Å
α = 90.00°, β = 90.00°, γ = 90.00°
Fractional positions:
Y  0.000  0.500  0.000
Y  0.500  0.000  0.000
Co  0.000  0.000  0.000
Ga  0.000  0.000  0.500
Li  0.500  0.500  0.500

Output
The space group is P4/mmm, No. 123. The total energy is -5.13 eV per atom. The volume comes out at 24.4 Å³ per atom. For the density of states at the Fermi level, the calculation gives 0.921 states/eV/atom. The calculated formation energy comes out at -0.138 eV/atom.